(1)
Material: Pr4Pt2I5
Method: DFT, PBE
State: optimized geometry

Unit cell a=15.1682 b=15.1682 c=15.1682 alpha=164.27 beta=145.94 gamma=37.72
Positions (direct):
Pr 0.1431 0.1431 0.0000
Pr 0.1948 0.5000 0.6948
Pr 0.8052 0.5000 0.3052
Pr 0.8569 0.8569 0.0000
Pt 0.0471 0.0471 0.0000
Pt 0.9529 0.9529 0.0000
I 0.0743 0.3265 0.7478
I 0.4213 0.6735 0.7478
I 0.5000 0.0000 0.5000
I 0.5787 0.3265 0.2522
I 0.9257 0.6735 0.2522

## Properties
As for the density of states at the Fermi level: 0.6194 states/eV/atom. The energy is -4.63 eV/atom. The value obtained for the offset from the most stable computed form is 46 kJ/mol of formula units. Its space-group type is Immm (71). For the raw formation energy, the calculation gives -1.093 eV per atom.



(2)
Material: Li2La3Tl5
Method: DFT, PBE
State: optimized geometry

Unit cell a=11.0566 b=11.0566 c=4.4298 alpha=90.00 beta=90.00 gamma=90.00
Positions (direct):
Li 0.1187 0.3813 0.0000
Li 0.3813 0.8813 0.0000
Li 0.6187 0.1187 0.0000
Li 0.8813 0.6187 0.0000
La 0.0000 0.0000 0.0000
La 0.1741 0.6741 0.0000
La 0.3259 0.1741 0.0000
La 0.5000 0.5000 0.0000
La 0.6741 0.8259 0.0000
La 0.8259 0.3259 0.0000
Tl 0.0000 0.5000 0.5000
Tl 0.0729 0.2168 0.5000
Tl 0.2168 0.9271 0.5000
Tl 0.2832 0.4271 0.5000
Tl 0.4271 0.7168 0.5000
Tl 0.5000 0.0000 0.5000
Tl 0.5729 0.2832 0.5000
Tl 0.7168 0.5729 0.5000
Tl 0.7832 0.0729 0.5000
Tl 0.9271 0.7832 0.5000

## Properties
As for the density of states at the Fermi level: 0.5291 states/eV/atom. The energy is -3.39 eV/atom. Its space-group type is P4/mbm (127). The calculation puts the formation enthalpy at 0 K at -0.35 eV per atom.



(3)
Material: Au2I3Cl
Method: DFT, PBE
State: optimized geometry

Unit cell a=5.4098 b=7.1166 c=12.7879 alpha=91.73 beta=97.46 gamma=102.23
Positions (direct):
Au 0.2333 0.1492 0.1135
Au 0.2460 0.6278 0.6241
Au 0.7540 0.3722 0.3759
Au 0.7667 0.8508 0.8865
I 0.0768 0.2694 0.5400
I 0.1272 0.7778 0.0547
I 0.4362 0.4884 0.2174
I 0.5638 0.5116 0.7826
I 0.8728 0.2222 0.9453
I 0.9232 0.7306 0.4600
Cl 0.3854 0.9472 0.6949
Cl 0.6146 0.0528 0.3051

## Properties
As for the density of states at the Fermi level: 0.3064 states/eV/atom. The energy is -2.27 eV/atom. The value obtained for the offset from the most stable computed form is 0 kJ/mol of formula units. Its space-group type is P-1 (2). For the raw formation energy, the calculation gives -0.096 eV per atom.



(4)
Material: Ho5MgZn4
Method: DFT, PBE
State: optimized geometry

Unit cell a=3.5536 b=3.5536 c=18.4895 alpha=90.00 beta=90.00 gamma=90.00
Positions (direct):
Ho 0.0000 0.0000 0.0000
Ho 0.0000 0.0000 0.1912
Ho 0.0000 0.0000 0.3810
Ho 0.0000 0.0000 0.6190
Ho 0.0000 0.0000 0.8088
Mg 0.5000 0.5000 0.5000
Zn 0.5000 0.5000 0.0960
Zn 0.5000 0.5000 0.2892
Zn 0.5000 0.5000 0.7108
Zn 0.5000 0.5000 0.9040

## Properties
As for the density of states at the Fermi level: 1.0732 states/eV/atom. The energy is -3.25 eV/atom. Its space-group type is P4/mmm (123). The calculation puts the formation enthalpy at 0 K at -0.29 eV per atom.



(5)
Material: NpGaIrO6
Method: DFT, PBE
State: optimized geometry

Unit cell a=5.2435 b=5.2435 c=8.8099 alpha=90.00 beta=90.00 gamma=120.00
Positions (direct):
Np 0.3333 0.6667 0.2500
Np 0.6667 0.3333 0.7500
Ga 0.3333 0.6667 0.7500
Ga 0.6667 0.3333 0.2500
Ir 0.0000 0.0000 0.0000
Ir 0.0000 0.0000 0.5000
O 0.0105 0.3349 0.6265
O 0.0105 0.6756 0.8735
O 0.3244 0.3349 0.8735
O 0.3244 0.9895 0.6265
O 0.3349 0.0105 0.1265
O 0.3349 0.3244 0.3735
O 0.6651 0.6756 0.6265
O 0.6651 0.9895 0.8735
O 0.6756 0.0105 0.3735
O 0.6756 0.6651 0.1265
O 0.9895 0.3244 0.1265
O 0.9895 0.6651 0.3735

## Properties
As for the density of states at the Fermi level: 0.1407 states/eV/atom. The energy is -7.80 eV/atom. Its space-group type is P-31c (163). For the raw formation energy, the calculation gives -1.739 eV per atom.



(6)
Material: Tb12Pr7Sm
Method: DFT, PBE
State: optimized geometry

Unit cell a=9.8828 b=9.8828 c=9.8828 alpha=109.47 beta=109.47 gamma=109.47
Positions (direct):
Tb 0.0000 0.2481 0.7519
Tb 0.0000 0.7519 0.2481
Tb 0.2481 0.0000 0.7519
Tb 0.2481 0.2481 0.4963
Tb 0.2481 0.4963 0.2481
Tb 0.2481 0.7519 0.0000
Tb 0.4963 0.2481 0.2481
Tb 0.5037 0.7519 0.7519
Tb 0.7519 0.0000 0.2481
Tb 0.7519 0.2481 0.0000
Tb 0.7519 0.5037 0.7519
Tb 0.7519 0.7519 0.5037
Pr 0.0000 0.0000 0.5000
Pr 0.0000 0.5000 0.0000
Pr 0.0000 0.5000 0.5000
Pr 0.5000 0.0000 0.0000
Pr 0.5000 0.0000 0.5000
Pr 0.5000 0.5000 0.0000
Pr 0.5000 0.5000 0.5000
Sm 0.0000 0.0000 0.0000

## Properties
As for the density of states at the Fermi level: 1.4818 states/eV/atom. The energy is -4.07 eV/atom. The value obtained for the offset from the most stable computed form is 746 kJ/mol of formula units. Its space-group type is Im-3m (229). The calculation puts the formation enthalpy at 0 K at 0.61 eV per atom.